[1]
Computed, not measured: a geometry-optimized LuReAsO structure at the PBE level of DFT.

The space group is Pmc2_1 (No. 26) and the conventional cell measures 4.196, 5.944 and 5.461 Å, with angles of 90.00, 90.00 and 90.00 degrees. The distinct sites, in fractional coordinates, are Lu at (0.000, 0.199, 0.000), Re at (0.500, 0.492, 0.763), As at (0.000, 0.302, 0.505) and O at (0.500, 0.218, 0.029).

Its energy relative to the lowest polymorph listed for this composition is 521 meV per atom. Its final energy is -7.7271 eV/atom. Its spin magnetization is 0.0014 μB/atom.


[2]
Computed, not measured: a geometry-optimized LuReAsO structure at the PBE level of DFT.

The space group is P4/nmm (No. 129, origin choice 2) and the conventional cell measures 4.319, 4.319 and 6.568 Å, with angles of 90.00, 90.00 and 90.00 degrees. The distinct sites, in fractional coordinates, are Lu at (0.250, 0.750, 0.000), Re at (0.250, 0.250, 0.351), As at (0.250, 0.250, 0.725) and O at (0.250, 0.750, 0.500).

Its energy relative to the lowest polymorph listed for this composition is 1613 meV per atom. Its final energy is -6.6348 eV/atom. Its spin magnetization is 0.0050 μB/atom.


[3]
Computed, not measured: a geometry-optimized LuReAsO structure at the PBE level of DFT.

The space group is Pmc2_1 (No. 26) and the conventional cell measures 4.344, 4.681 and 6.143 Å, with angles of 90.00, 90.00 and 90.00 degrees. The distinct sites, in fractional coordinates, are Lu at (0.000, 0.219, 0.000), Re at (0.500, 0.377, 0.334), As at (0.500, 0.130, 0.690) and O at (0.000, 0.376, 0.331).

Its energy relative to the lowest polymorph listed for this composition is 481 meV per atom. Its final energy is -7.7675 eV/atom. Its spin magnetization is 0.0046 μB/atom.


[4]
Computed, not measured: a geometry-optimized LuSnAsO structure at the PBE level of DFT.

The space group is Pmc2_1 (No. 26) and the conventional cell measures 4.890, 6.311 and 6.210 Å, with angles of 90.00, 90.00 and 90.00 degrees. The distinct sites, in fractional coordinates, are Lu at (0.000, 0.148, 0.000), Sn at (0.500, 0.260, 0.384), As at (0.500, 0.284, 0.832) and O at (0.000, 0.136, 0.337).

Its energy relative to the lowest polymorph listed for this composition is 95 meV per atom. Its final energy is -5.8710 eV/atom. Its spin magnetization is 0.0001 μB/atom.


[5]
Computed, not measured: a geometry-optimized LuSnAsO structure at the PBE level of DFT.

The space group is P4/nmm (No. 129, origin choice 2) and the conventional cell measures 5.006, 5.006 and 6.231 Å, with angles of 90.00, 90.00 and 90.00 degrees. The distinct sites, in fractional coordinates, are Lu at (0.250, 0.750, 0.000), Sn at (0.250, 0.250, 0.414), As at (0.250, 0.250, 0.828) and O at (0.250, 0.750, 0.500).

Its energy relative to the lowest polymorph listed for this composition is 552 meV per atom. Its final energy is -5.4139 eV/atom. Its spin magnetization is 0.0004 μB/atom.


[6]
Computed, not measured: a geometry-optimized LuSnAsO structure at the PBE level of DFT.

The space group is P4/nmm (No. 129, origin choice 2) and the conventional cell measures 4.026, 4.026 and 10.016 Å, with angles of 90.00, 90.00 and 90.00 degrees. The distinct sites, in fractional coordinates, are Lu at (0.250, 0.250, 0.095), Sn at (0.250, 0.750, 0.500), As at (0.250, 0.250, 0.733) and O at (0.250, 0.750, 0.000).

Its energy relative to the lowest polymorph listed for this composition is 0 meV per atom. Its final energy is -5.9660 eV/atom. Its spin magnetization is 0.0017 μB/atom.


[7]
Computed, not measured: a geometry-optimized SrLuAsO structure at the PBE level of DFT.

The space group is P4/nmm (No. 129, origin choice 2) and the conventional cell measures 4.329, 4.329 and 9.177 Å, with angles of 90.00, 90.00 and 90.00 degrees. The distinct sites, in fractional coordinates, are Sr at (0.250, 0.750, 0.000), Lu at (0.250, 0.250, 0.418), As at (0.250, 0.250, 0.775) and O at (0.250, 0.750, 0.500).

Its energy relative to the lowest polymorph listed for this composition is 2 meV per atom. Its final energy is -5.6020 eV/atom. Its spin magnetization is 0.0000 μB/atom.


[8]
Computed, not measured: a geometry-optimized SrLuAsO structure at the PBE level of DFT.

The space group is P4/nmm (No. 129, origin choice 2) and the conventional cell measures 4.825, 4.825 and 9.202 Å, with angles of 90.00, 90.00 and 90.00 degrees. The distinct sites, in fractional coordinates, are Sr at (0.250, 0.250, 0.066), Lu at (0.250, 0.750, 0.500), As at (0.250, 0.250, 0.641) and O at (0.250, 0.750, 0.000).

Its energy relative to the lowest polymorph listed for this composition is 102 meV per atom. Its final energy is -5.5015 eV/atom. Its spin magnetization is 0.0194 μB/atom.


[9]
Computed, not measured: a geometry-optimized SrLuAsO structure at the PBE level of DFT.

The space group is P4/nmm (No. 129, origin choice 2) and the conventional cell measures 4.370, 4.370 and 9.091 Å, with angles of 90.00, 90.00 and 90.00 degrees. The distinct sites, in fractional coordinates, are Sr at (0.250, 0.750, 0.000), Lu at (0.250, 0.250, 0.425), As at (0.250, 0.250, 0.775) and O at (0.250, 0.750, 0.500).

Its energy relative to the lowest polymorph listed for this composition is 0 meV per atom. Its final energy is -5.6036 eV/atom. Its spin magnetization is 0.0000 μB/atom.


[10]
Computed, not measured: a geometry-optimized LuTaAsO structure at the PBE level of DFT.

The space group is P4/nmm (No. 129, origin choice 2) and the conventional cell measures 3.904, 3.904 and 8.861 Å, with angles of 90.00, 90.00 and 90.00 degrees. The distinct sites, in fractional coordinates, are Lu at (0.250, 0.250, 0.117), Ta at (0.250, 0.750, 0.500), As at (0.250, 0.250, 0.707) and O at (0.250, 0.750, 0.000).

Its energy relative to the lowest polymorph listed for this composition is 0 meV per atom. Its final energy is -8.3349 eV/atom. Its spin magnetization is 0.0018 μB/atom.


[11]
Computed, not measured: a geometry-optimized LuTaAsO structure at the PBE level of DFT.

The space group is P4/nmm (No. 129, origin choice 2) and the conventional cell measures 4.075, 4.075 and 7.744 Å, with angles of 90.00, 90.00 and 90.00 degrees. The distinct sites, in fractional coordinates, are Lu at (0.250, 0.750, 0.000), Ta at (0.250, 0.250, 0.386), As at (0.250, 0.250, 0.749) and O at (0.250, 0.750, 0.500).

Its energy relative to the lowest polymorph listed for this composition is 1054 meV per atom. Its final energy is -7.2805 eV/atom. Its spin magnetization is 0.0030 μB/atom.


[12]
Computed, not measured: a geometry-optimized LuTcAsO structure at the PBE level of DFT.

The space group is P4/nmm (No. 129, origin choice 2) and the conventional cell measures 3.908, 3.908 and 8.358 Å, with angles of 90.00, 90.00 and 90.00 degrees. The distinct sites, in fractional coordinates, are Lu at (0.250, 0.250, 0.123), Tc at (0.250, 0.750, 0.500), As at (0.250, 0.250, 0.686) and O at (0.250, 0.750, 0.000).

Its energy relative to the lowest polymorph listed for this composition is 0 meV per atom. Its final energy is -7.9018 eV/atom. Its spin magnetization is 0.0015 μB/atom.


[13]
Computed, not measured: a geometry-optimized LuTcAsO structure at the PBE level of DFT.

The space group is P4/nmm (No. 129, origin choice 2) and the conventional cell measures 4.373, 4.373 and 8.518 Å, with angles of 90.00, 90.00 and 90.00 degrees. The distinct sites, in fractional coordinates, are Lu at (0.250, 0.750, 0.000), Tc at (0.250, 0.250, 0.492), As at (0.250, 0.250, 0.196) and O at (0.250, 0.750, 0.500).

Its energy relative to the lowest polymorph listed for this composition is 1580 meV per atom. Its final energy is -6.3218 eV/atom. Its spin magnetization is 0.8268 μB/atom.


[14]
Computed, not measured: a geometry-optimized LuTlAsO structure at the PBE level of DFT.

The space group is P4/nmm (No. 129, origin choice 2) and the conventional cell measures 4.579, 4.579 and 8.455 Å, with angles of 90.00, 90.00 and 90.00 degrees. The distinct sites, in fractional coordinates, are Lu at (0.250, 0.750, 0.000), Tl at (0.250, 0.250, 0.396), As at (0.250, 0.250, 0.821) and O at (0.250, 0.750, 0.500).

Its energy relative to the lowest polymorph listed for this composition is 897 meV per atom. Its final energy is -4.5942 eV/atom. Its spin magnetization is 0.0011 μB/atom.


[15]
Computed, not measured: a geometry-optimized LuTlAsO structure at the PBE level of DFT.

The space group is P4/nmm (No. 129, origin choice 2) and the conventional cell measures 4.110, 4.110 and 9.717 Å, with angles of 90.00, 90.00 and 90.00 degrees. The distinct sites, in fractional coordinates, are Lu at (0.250, 0.250, 0.096), Tl at (0.250, 0.750, 0.500), As at (0.250, 0.250, 0.731) and O at (0.250, 0.750, 0.000).

Its energy relative to the lowest polymorph listed for this composition is 0 meV per atom. Its final energy is -5.4915 eV/atom. Its spin magnetization is 0.0035 μB/atom.


[16]
Computed, not measured: a geometry-optimized LuZrAsO structure at the PBE level of DFT.

The space group is P4/nmm (No. 129, origin choice 2) and the conventional cell measures 4.031, 4.031 and 8.480 Å, with angles of 90.00, 90.00 and 90.00 degrees. The distinct sites, in fractional coordinates, are Lu at (0.250, 0.750, 0.000), Zr at (0.250, 0.250, 0.375), As at (0.250, 0.250, 0.771) and O at (0.250, 0.750, 0.500).

Its energy relative to the lowest polymorph listed for this composition is 462 meV per atom. Its final energy is -7.1364 eV/atom. Its spin magnetization is 0.0020 μB/atom.


[17]
Computed, not measured: a geometry-optimized LuZrAsO structure at the PBE level of DFT.

The space group is P4/nmm (No. 129, origin choice 2) and the conventional cell measures 4.116, 4.116 and 8.626 Å, with angles of 90.00, 90.00 and 90.00 degrees. The distinct sites, in fractional coordinates, are Lu at (0.250, 0.250, 0.108), Zr at (0.250, 0.750, 0.500), As at (0.250, 0.250, 0.705) and O at (0.250, 0.750, 0.000).

Its energy relative to the lowest polymorph listed for this composition is 0 meV per atom. Its final energy is -7.5981 eV/atom. Its spin magnetization is 0.0024 μB/atom.


[18]
Computed, not measured: a geometry-optimized Lu2AsOs structure at the PBE level of DFT.

The space group is F-43m (No. 216) and the conventional cell measures 6.726, 6.726 and 6.726 Å, with angles of 90.00, 90.00 and 90.00 degrees. The distinct sites, in fractional coordinates, are Lu at (0.000, 0.000, 0.000), Lu at (0.250, 0.250, 0.250), As at (0.000, 0.000, 0.500) and Os at (0.250, 0.250, 0.750).

Its final energy is -6.3540 eV/atom. Its spin magnetization is 0.0000 μB/atom.


[19]
Computed, not measured: a geometry-optimized Lu3As2P structure at the PBE level of DFT.

The space group is P-3m1 (No. 164) and the conventional cell measures 3.9889, 3.9889 and 9.7836 Å, with angles of 90.00, 90.00 and 120.00 degrees. The distinct sites, in fractional coordinates, are Lu at (0.0000, 0.0000, 0.0000), Lu at (0.3333, 0.6667, 0.6604), As at (0.3333, 0.6667, 0.1694) and P at (0.0000, 0.0000, 0.5000).

Its final energy is -6.2203 eV/atom. Its spin magnetization is 0.0001 μB/atom.


[20]
Computed, not measured: a geometry-optimized Lu2As4Pb structure at the PBE level of DFT.

The space group is P4/mmm (No. 123) and the conventional cell measures 4.555, 4.555 and 8.015 Å, with angles of 90.00, 90.00 and 90.00 degrees. The distinct sites, in fractional coordinates, are Lu at (0.000, 0.000, 0.000), Lu at (0.500, 0.500, 0.500), As at (0.000, 0.500, 0.238) and Pb at (0.000, 0.000, 0.500).

Its final energy is -4.9199 eV/atom. Its spin magnetization is 0.0003 μB/atom.


[21]
Computed, not measured: a geometry-optimized LuAsPd2 structure at the PBE level of DFT.

The space group is F-43m (No. 216) and the conventional cell measures 6.577, 6.577 and 6.577 Å, with angles of 90.00, 90.00 and 90.00 degrees. The distinct sites, in fractional coordinates, are Lu at (0.000, 0.000, 0.000), As at (0.250, 0.250, 0.750), Pd at (0.000, 0.000, 0.500) and Pd at (0.250, 0.250, 0.250).

Its final energy is -5.6066 eV/atom. Its spin magnetization is 0.0002 μB/atom.


[22]
Computed, not measured: a geometry-optimized PrLuAs structure at the PBE level of DFT.

The space group is F-43m (No. 216) and the conventional cell measures 6.906, 6.906 and 6.906 Å, with angles of 90.00, 90.00 and 90.00 degrees. The distinct sites, in fractional coordinates, are Pr at (0.000, 0.000, 0.000), Lu at (0.000, 0.000, 0.500) and As at (0.250, 0.250, 0.750).

Its energy relative to the lowest polymorph listed for this composition is 0 meV per atom. Its final energy is -5.3409 eV/atom. Its spin magnetization is 0.0039 μB/atom.


[23]
Computed, not measured: a geometry-optimized Lu2AsPt structure at the PBE level of DFT.

The space group is F-43m (No. 216) and the conventional cell measures 6.909, 6.909 and 6.909 Å, with angles of 90.00, 90.00 and 90.00 degrees. The distinct sites, in fractional coordinates, are Lu at (0.000, 0.000, 0.000), Lu at (0.250, 0.250, 0.250), As at (0.000, 0.000, 0.500) and Pt at (0.250, 0.250, 0.750).

Its final energy is -5.3219 eV/atom. Its spin magnetization is 0.0001 μB/atom.


[24]
Computed, not measured: a geometry-optimized LuAs2Pt structure at the PBE level of DFT.

The space group is F-43m (No. 216) and the conventional cell measures 6.744, 6.744 and 6.744 Å, with angles of 90.00, 90.00 and 90.00 degrees. The distinct sites, in fractional coordinates, are Lu at (0.000, 0.000, 0.000), As at (0.000, 0.000, 0.500), As at (0.250, 0.250, 0.250) and Pt at (0.250, 0.250, 0.750).

Its final energy is -5.4182 eV/atom. Its spin magnetization is 0.0076 μB/atom.


[25]
Computed, not measured: a geometry-optimized LuAsPt2 structure at the PBE level of DFT.

The space group is F-43m (No. 216) and the conventional cell measures 6.587, 6.587 and 6.587 Å, with angles of 90.00, 90.00 and 90.00 degrees. The distinct sites, in fractional coordinates, are Lu at (0.000, 0.000, 0.000), As at (0.250, 0.250, 0.750), Pt at (0.000, 0.000, 0.500) and Pt at (0.250, 0.250, 0.250).

Its final energy is -5.9529 eV/atom. Its spin magnetization is 0.0003 μB/atom.


[26]
Computed, not measured: a geometry-optimized LuPuAs structure at the PBE level of DFT.

The space group is F-43m (No. 216) and the conventional cell measures 6.797, 6.797 and 6.797 Å, with angles of 90.00, 90.00 and 90.00 degrees. The distinct sites, in fractional coordinates, are Lu at (0.000, 0.000, 0.000), Pu at (0.000, 0.000, 0.500) and As at (0.250, 0.250, 0.250).

Its energy relative to the lowest polymorph listed for this composition is 0 meV per atom. Its final energy is -8.3244 eV/atom. Its spin magnetization is 2.2270 μB/atom.


| no. | volume (Å³/atom) |
| --- | --- |
| 1 | 17.03 |
| 2 | 15.31 |
| 3 | 15.61 |
| 4 | 23.96 |
| 5 | 19.52 |
| 6 | 20.29 |
| 7 | 21.50 |
| 8 | 26.78 |
| 9 | 21.71 |
| 10 | 16.88 |
| 11 | 16.07 |
| 12 | 15.96 |
| 13 | 20.36 |
| 14 | 22.16 |
| 15 | 20.52 |
| 16 | 17.23 |
| 17 | 18.27 |
| 18 | 19.02 |
| 19 | 22.47 |
| 20 | 23.76 |
| 21 | 17.78 |
| 22 | 27.44 |
| 23 | 20.62 |
| 24 | 19.17 |
| 25 | 17.86 |
| 26 | 26.17 |